(1)
Computed, not measured: crystalline Na5Np3S12 at its relaxed geometry at the GGA-PBE level of DFT.

Cell: 14.0026 14.0026 14.0026 Å, 109.47 109.47 109.47°
Last column: nearest neighbours and their distance in Å.
Fractional positions:
Np 0.7500 0.3750 0.1250  8 S 2.74-2.88
Np 0.8750 0.7500 0.1250  8 S 2.74-2.88
Np 0.3750 0.7500 0.6250  8 S 2.74-2.88
Np 0.2500 0.1250 0.3750  8 S 2.74-2.88
Np 0.8750 0.1250 0.2500  8 S 2.74-2.88
Np 0.3750 0.6250 0.2500  8 S 2.74-2.88
Np 0.6250 0.3750 0.7500  8 S 2.74-2.88
Np 0.1250 0.8750 0.7500  8 S 2.74-2.88
Np 0.7500 0.8750 0.6250  8 S 2.74-2.88
Np 0.6250 0.2500 0.3750  8 S 2.74-2.88
Np 0.1250 0.2500 0.8750  8 S 2.74-2.88
Np 0.2500 0.6250 0.8750  8 S 2.74-2.88
Na 0.1250 0.3750 0.2500  4 S 2.67
Na 0.0000 0.5000 0.0000  6 S 3.11
Na 0.0000 0.0000 0.0000  6 S 3.11
Na 0.3750 0.2500 0.1250  4 S 2.67
Na 0.5000 0.0000 0.5000  6 S 3.11
Na 0.5000 0.5000 0.0000  6 S 3.11
Na 0.1250 0.7500 0.3750  4 S 2.67
Na 0.7500 0.1250 0.8750  4 S 2.67
Na 0.7500 0.6250 0.3750  4 S 2.67
Na 0.3750 0.1250 0.7500  4 S 2.67
Na 0.6250 0.8750 0.2500  4 S 2.67
Na 0.5000 0.5000 0.5000  6 S 3.11
Na 0.5000 0.0000 0.0000  6 S 3.11
Na 0.0000 0.0000 0.5000  6 S 3.11
Na 0.2500 0.3750 0.6250  4 S 2.67
Na 0.2500 0.8750 0.1250  4 S 2.67
Na 0.0000 0.5000 0.5000  6 S 3.11
Na 0.8750 0.2500 0.6250  4 S 2.67
Na 0.6250 0.7500 0.8750  4 S 2.67
Na 0.8750 0.6250 0.7500  4 S 2.67
S 0.7582 0.1620 0.0780  1 S 2.36
S 0.3198 0.5780 0.4160  1 S 2.36
S 0.9220 0.3380 0.2418  1 S 2.36
S 0.5780 0.2582 0.1620  1 S 2.36
S 0.5962 0.7582 0.6802  1 S 2.36
S 0.9220 0.5840 0.1802  1 S 2.36
S 0.3198 0.7418 0.4038  1 S 2.36
S 0.0840 0.9038 0.1620  1 S 2.36
S 0.5840 0.9220 0.6802  1 S 2.36
S 0.7582 0.5962 0.1802  1 S 2.36
S 0.7418 0.4220 0.3380  1 S 2.36
S 0.8198 0.9160 0.0780  1 S 2.36
S 0.1620 0.7582 0.5780  1 S 2.36
S 0.3380 0.4160 0.0962  1 S 2.36
S 0.0962 0.9160 0.3380  1 S 2.36
S 0.4038 0.1620 0.5840  1 S 2.36
S 0.0962 0.1802 0.2582  1 S 2.36
S 0.4220 0.6802 0.0840  1 S 2.36
S 0.8198 0.9038 0.2418  1 S 2.36
S 0.1620 0.4038 0.0840  1 S 2.36
S 0.3380 0.9220 0.7418  1 S 2.36
S 0.5840 0.6620 0.4038  1 S 2.36
S 0.9160 0.8198 0.5780  1 S 2.36
S 0.7418 0.3198 0.9038  1 S 2.36
S 0.4160 0.3380 0.5962  1 S 2.36
S 0.0840 0.1802 0.4220  1 S 2.36
S 0.2582 0.6802 0.0962  1 S 2.36
S 0.1802 0.0962 0.7582  1 S 2.36
S 0.6620 0.0780 0.2582  1 S 2.36
S 0.8380 0.5962 0.9160  1 S 2.36
S 0.5780 0.3198 0.9160  1 S 2.36
S 0.5962 0.8380 0.4160  1 S 2.36
S 0.9038 0.8198 0.7418  1 S 2.36
S 0.9038 0.0840 0.6620  1 S 2.36
S 0.8380 0.2418 0.4220  1 S 2.36
S 0.1802 0.0840 0.9220  1 S 2.36
S 0.6620 0.5840 0.9038  1 S 2.36
S 0.4160 0.0780 0.3198  1 S 2.36
S 0.2418 0.4038 0.8198  1 S 2.36
S 0.2582 0.5780 0.6620  1 S 2.36
S 0.9160 0.0962 0.8380  1 S 2.36
S 0.6802 0.2582 0.5962  1 S 2.36
S 0.4220 0.7418 0.8380  1 S 2.36
S 0.0780 0.4160 0.8198  1 S 2.36
S 0.4038 0.2418 0.3198  1 S 2.36
S 0.0780 0.6620 0.7582  1 S 2.36
S 0.6802 0.4220 0.5840  1 S 2.36
S 0.2418 0.8380 0.9220  1 S 2.36

**ΔE_f (raw)**: -0.73 eV/atom
**Space group**: Ia-3d (230)
**Fermi-level density of states**: 131.98 states/eV/cell
**Spin magnetization**: 12.2 μB/f.u.
**ρ**: 3805 kg/m³

=====

(2)
Computed, not measured: crystalline NaNpS4 at its relaxed geometry at the GGA-PBE level of DFT.

Cell: 5.3435 5.3435 11.5946 Å, 90.00 90.00 90.55°
Last column: nearest neighbours and their distance in Å.
Fractional positions:
Na 0.8873 0.8873 0.7500  4 S 2.67-2.68
Na 0.1127 0.1127 0.2500  4 S 2.67-2.68
Np 0.4003 0.4003 0.7500  6 S 2.65-2.70
Np 0.5997 0.5997 0.2500  6 S 2.65-2.70
S 0.6138 0.0951 0.2500  2 Np 2.65-2.70, 2 Na 2.67-2.68
S 0.3862 0.9049 0.7500  2 Np 2.65-2.70, 2 Na 2.67-2.68
S 0.0951 0.6138 0.2500  2 Np 2.65-2.70, 2 Na 2.67-2.68
S 0.9049 0.3862 0.7500  2 Np 2.65-2.70, 2 Na 2.67-2.68
S 0.6313 0.6313 0.4783  1 S 2.04
S 0.3687 0.3687 0.9783  1 S 2.04
S 0.6313 0.6313 0.0217  1 S 2.04
S 0.3687 0.3687 0.5217  1 S 2.04

**ΔE_f (raw)**: -0.78 eV/atom
**Space group**: Cmcm (63)
**Fermi-level density of states**: 18.82 states/eV/cell
**Spin magnetization**: 2.0 μB/f.u.
**ρ**: 3895 kg/m³

=====

Question: The lowest Fermi-level density of states belongs to which entry?
Answer: NaNpS4